Entry from Alexandria: crystalline TlH4I2 at its relaxed geometry (PBE-GGA).

The uncorrected energy is -2.043 eV/atom.

The space group is P4_2/mnm (No. 136) and the conventional cell measures 9.5666, 9.5666 and 3.5748 Å, with angles of 90.00, 90.00 and 90.00 degrees. The distinct sites, in fractional coordinates, are Tl at (0.0000, 0.0000, 0.0000), H at (0.1660, 0.3223, 0.0000) and I at (0.2452, 0.2452, 0.5000).

***

Entry from Alexandria: crystalline CaSn4Pt2 at its relaxed geometry (PBE-GGA).

The calculation puts the formation energy at -611.4 meV per atom.

The space group is Pnma (No. 62) and the conventional cell measures 18.9237, 4.4871 and 7.5202 Å, with angles of 90.00, 90.00 and 90.00 degrees. The distinct sites, in fractional coordinates, are Ca at (0.1435, 0.2500, 0.0302), Sn at (0.0343, 0.7500, 0.8661), Sn at (0.0667, 0.2500, 0.4859), Sn at (0.1825, 0.7500, 0.3226), Sn at (0.1926, 0.7500, 0.7463), Pt at (0.0381, 0.7500, 0.2399) and Pt at (0.2153, 0.2500, 0.5394).